1.
{
  "formula": "Ba2BeTcN6",
  "functional": "GGA-PBE",
  "state": "optimized geometry",
  "final_energy_ev_per_cell": -64.33,
  "sg": "R3m (160)",
  "magnetic_moment_mub_per_fu": 0.0,
  "volume_a3_per_cell": 137.5,
  "lattice_angstrom": [[-1.860, -5.309, 1.679], [3.348, -4.782, -0.624], [2.326, -2.762, 4.628]],
  "species": ["Tc", "N", "N", "N", "N", "N", "N", "Ba", "Ba", "Be"],
  "frac_coords": [[0.485, 0.485, 0.485], [0.266, 0.266, 0.759], [0.759, 0.266, 0.266], [0.763, 0.763, 0.241], [0.241, 0.763, 0.763], [0.763, 0.241, 0.763], [0.266, 0.759, 0.266], [0.251, 0.251, 0.251], [0.745, 0.745, 0.745], [0.965, 0.965, 0.965]]
}

***

2.
{
  "formula": "BaBeNb",
  "functional": "GGA-PBE",
  "state": "optimized geometry",
  "final_energy_ev_per_cell": -11.67,
  "sg": "F-43m (216)",
  "magnetic_moment_mub_per_fu": 3.0,
  "de_polymorph_mev_per_atom": 0,
  "volume_a3_per_cell": 83.0,
  "lattice_angstrom": [[0.000, 3.462, 3.462], [3.462, 0.000, 3.462], [3.462, 3.462, 0.000]],
  "species": ["Be", "Nb", "Ba"],
  "frac_coords": [[0.000, 0.000, 0.000], [0.750, 0.750, 0.750], [0.250, 0.250, 0.250]]
}

***

3.
{
  "formula": "BaBeNb",
  "functional": "GGA-PBE",
  "state": "optimized geometry",
  "final_energy_ev_per_cell": -9.46,
  "sg": "F-43m (216)",
  "magnetic_moment_mub_per_fu": 1.7,
  "de_polymorph_mev_per_atom": 736,
  "volume_a3_per_cell": 80.4,
  "lattice_angstrom": [[2.933, -2.244, 3.137], [2.624, 2.591, 3.142], [-1.101, -0.076, 4.718]],
  "species": ["Nb", "Be", "Ba"],
  "frac_coords": [[0.750, 0.750, 0.750], [0.250, 0.250, 0.250], [0.000, 0.000, 0.000]]
}

***

Copy entry 1 word for word.
{
  "formula": "Ba2BeTcN6",
  "functional": "GGA-PBE",
  "state": "optimized geometry",
  "final_energy_ev_per_cell": -64.33,
  "sg": "R3m (160)",
  "magnetic_moment_mub_per_fu": 0.0,
  "volume_a3_per_cell": 137.5,
  "lattice_angstrom": [[-1.860, -5.309, 1.679], [3.348, -4.782, -0.624], [2.326, -2.762, 4.628]],
  "species": ["Tc", "N", "N", "N", "N", "N", "N", "Ba", "Ba", "Be"],
  "frac_coords": [[0.485, 0.485, 0.485], [0.266, 0.266, 0.759], [0.759, 0.266, 0.266], [0.763, 0.763, 0.241], [0.241, 0.763, 0.763], [0.763, 0.241, 0.763], [0.266, 0.759, 0.266], [0.251, 0.251, 0.251], [0.745, 0.745, 0.745], [0.965, 0.965, 0.965]]
}